Computed, not measured: an optimized crystal structure of PmErAl at the PBE-GGA level of DFT.

```
3
Lattice="0.000 3.590 3.590 3.590 0.000 3.590 3.590 3.590 0.000" Properties=species:S:1:pos:R:3 pbc="T T T"
Al 1.795 1.795 1.795
Er 0.000 0.000 0.000
Pm 5.386 5.386 5.386
```

Output
* energy relative to the lowest polymorph listed for this composition: 0.575 eV/atom
* uncorrected energy: -0.2836 Ry per atom
* V: 30.86 A^3/atom
* total moment: 0.91 μB per formula unit
* space group: F-43m, No. 216



Computed, not measured: an optimized crystal structure of CsCuSe at the PBE-GGA level of DFT.

```
6
Lattice="4.388 0.000 0.000 0.000 4.388 0.000 0.000 0.000 8.577" Properties=species:S:1:pos:R:3 pbc="T T T"
Cs 0.000 2.194 1.439
Cs 2.194 0.000 7.137
Cu 0.000 0.000 4.288
Cu 2.194 2.194 4.288
Se 2.194 0.000 2.960
Se 0.000 2.194 5.616
```

Output
* uncorrected energy: -0.2387 Ry per atom
* V: 27.53 A^3/atom
* space group: P4/nmm, No. 129



Computed, not measured: an optimized crystal structure of PrScInNi2 at the PBE-GGA level of DFT.

```
5
Lattice="-0.264 3.202 -1.616 -7.361 -0.885 -0.552 -6.798 0.891 2.875" Properties=species:S:1:pos:R:3 pbc="T T T"
In -0.134 0.000 0.022
Ni -2.740 0.001 0.450
Ni -11.220 0.004 1.841
Pr -5.287 1.603 0.038
Sc -9.200 1.605 0.680
```

Output
* uncorrected energy: -0.3993 Ry per atom
* V: 20.13 A^3/atom
* total moment: 0.00 μB per formula unit
* space group: Amm2, No. 38



Computed, not measured: an optimized crystal structure of Pm2Np at the PBE-GGA level of DFT.

```
6
Lattice="4.439 2.563 7.249 -4.439 2.563 7.249 0.000 -5.126 7.249" Properties=species:S:1:pos:R:3 pbc="T T T"
Np 0.000 0.000 5.437
Np 0.000 0.000 10.873
Pm 2.220 1.281 11.779
Pm -2.220 1.281 11.779
Pm 0.000 0.000 8.155
Pm 0.000 -2.563 11.779
```

Output
* uncorrected energy: -0.3742 Ry per atom
* V: 82.47 A^3/atom
* total moment: 4.49 μB per formula unit
* energy relative to the elements: 2328.4 meV per atom
* space group: Fd-3m, No. 227



Computed, not measured: an optimized crystal structure of RbAgMoSe2S at the PBE-GGA level of DFT.

```
12
Lattice="1.976 -7.664 0.000 1.976 7.664 0.000 0.000 0.000 10.028" Properties=species:S:1:pos:R:3 pbc="T T T"
Ag 1.976 0.599 2.507
Ag 1.976 -0.599 7.521
Mo 0.000 0.000 0.000
Mo 0.000 0.000 5.014
Rb 1.976 -3.834 2.507
Rb 1.976 3.834 7.521
S 1.976 6.731 2.507
S 1.976 -6.731 7.521
Se 1.976 1.768 0.251
Se 1.976 1.768 4.763
Se 1.976 -1.768 5.265
Se 1.976 -1.768 9.777
```

Output
* uncorrected energy: -0.3443 Ry per atom
* V: 25.31 A^3/atom
* total moment: 2.00 μB per formula unit
* space group: Cmcm, No. 63



Computed, not measured: an optimized crystal structure of AlPd5 at the PBE-GGA level of DFT.

```
6
Lattice="5.062 0.000 0.000 -2.531 4.384 0.000 0.000 0.000 4.577" Properties=species:S:1:pos:R:3 pbc="T T T"
Al 0.000 0.000 0.000
Pd 2.531 1.461 0.000
Pd 0.000 2.922 0.000
Pd 2.531 0.000 2.288
Pd -1.265 2.192 2.288
Pd 1.265 2.192 2.288
```

Output
* uncorrected energy: -0.3615 Ry per atom
* V: 16.93 A^3/atom
* space group: P6/mmm, No. 191